DFT (GGA-PBE) results for a relaxed structure of BaSi2Hg.

abc: 4.7177 4.7177 4.6143
angles: 90.00 90.00 90.00
Space group P4/mmm (No. 123)
Symmetry-distinct sites (fractional):
Ba  0.0000  0.0000  0.0000 (multiplicity 1)
Si  0.0000  0.5000  0.5000 (multiplicity 2)
Hg  0.5000  0.5000  0.0000 (multiplicity 1)

Summary:
Raw formation energy   245 meV per atom
Fermi-level density of states   0.409 states/eV/atom
Spin magnetization   0.000 μB/f.u.
Calculated density   6.37 g/cm3
Energy   -12.09 eV/cell

***

DFT (GGA-PBE) results for a relaxed structure of La5Rh2Pb.

abc: 8.1593 8.1593 14.1836
angles: 90.00 90.00 90.00
Space group I4/mcm (No. 140)
Symmetry-distinct sites (fractional):
La  0.0000  0.0000  0.0000 (multiplicity 4)
La  0.1592  0.3408  0.1340 (multiplicity 16)
Rh  0.1424  0.3576  0.5000 (multiplicity 8)
Pb  0.0000  0.0000  0.2500 (multiplicity 4)

Summary:
Formation energy from the elements   -619 meV/atom
Fermi-level density of states   1.129 states/eV/atom
Spin magnetization   0.000 μB/f.u.
Calculated density   7.79 g/cm3
Energy   -192.00 eV/cell

***

DFT (GGA-PBE) results for a relaxed structure of NpNF.

abc: 8.0170 8.6133 11.6094
angles: 90.00 90.00 90.00
Space group Fddd (No. 70, origin choice 2)
Symmetry-distinct sites (fractional):
Np  0.1250  0.3683  0.1250 (multiplicity 16)
N  0.0000  0.0000  0.0000 (multiplicity 16)
F  0.1250  0.1250  0.4996 (multiplicity 16)

Summary:
Raw formation energy   -1673 meV per atom
Fermi-level density of states   2.299 states/eV/atom
Spin magnetization   3.000 μB/f.u.
Calculated density   8.95 g/cm3
Energy   -450.50 eV/cell

***

DFT (GGA-PBE) results for a relaxed structure of TbGa2Hg.

abc: 4.4544 4.4544 4.2794
angles: 90.00 90.00 90.00
Space group P4/mmm (No. 123)
Symmetry-distinct sites (fractional):
Tb  0.0000  0.0000  0.0000 (multiplicity 1)
Ga  0.0000  0.5000  0.5000 (multiplicity 2)
Hg  0.5000  0.5000  0.0000 (multiplicity 1)

Summary:
Formation energy from the elements   -435 meV/atom
Fermi-level density of states   0.555 states/eV/atom
Spin magnetization   0.000 μB/f.u.
Calculated density   9.76 g/cm3
Energy   -12.72 eV/cell
Excess energy over the best structure of this formula in the dataset   0 meV per atom

***

DFT (GGA-PBE) results for a relaxed structure of BaHfPdBr.

abc: 16.7889 3.6583 3.4755
angles: 90.00 90.15 90.00
Space group Cm (No. 8)
Symmetry-distinct sites (fractional):
Ba  0.0000  0.0000  0.0000 (multiplicity 2)
Hf  0.2159  0.0000  0.0046 (multiplicity 2)
Pd  0.1506  0.5000  0.5031 (multiplicity 2)
Br  0.3593  0.0000  0.4984 (multiplicity 2)

Summary:
Raw formation energy   -627 meV per atom
Fermi-level density of states   0.633 states/eV/atom
Spin magnetization   0.000 μB/f.u.
Calculated density   7.81 g/cm3
Energy   -42.50 eV/cell
Excess energy over the best structure of this formula in the dataset   50 meV per atom

***

DFT (GGA-PBE) results for a relaxed structure of SrTbBi.

abc: 14.2779 5.5796 5.5210
angles: 90.00 90.00 90.00
Space group Amm2 (No. 38)
Symmetry-distinct sites (fractional):
Sr  0.1569  0.0000  0.0000 (multiplicity 4)
Tb  0.3753  0.0000  0.5011 (multiplicity 4)
Bi  0.0000  0.0000  0.5000 (multiplicity 2)
Bi  0.5000  0.0000  0.0012 (multiplicity 2)

Summary:
Formation energy from the elements   -385 meV/atom
Fermi-level density of states   1.081 states/eV/atom
Spin magnetization   0.007 μB/f.u.
Calculated density   6.88 g/cm3
Energy   -45.40 eV/cell

***

> calculated density of number 1 (BaSi2Hg)?

6.37 g/cm3